Crystalline BaZrBe3 at its relaxed geometry, computed with PBE.

Properties
Fermi-level density of states   3.03 states/eV per cell
Relative energy among the computed polymorphs   986 meV/atom
Theoretical density   3.92 g/cm³
E_form   1.996 eV per atom

Lattice parameters (Å, degrees): 4.7653 4.7653 4.7653 90.00 90.00 90.00
With the nearest neighbours (Å) after each atom.
Fractional positions:
Be 0.0000 0.5000 0.0000  2 Ba 2.38
Zr 0.5000 0.5000 0.5000  12 Be 3.37
Be 0.0000 0.0000 0.5000  2 Ba 2.38
Be 0.5000 0.0000 0.0000  2 Ba 2.38
Ba 0.0000 0.0000 0.0000  6 Be 2.38